An optimized crystal structure of Rb2FeSnO. Source: the Alexandria database, functional GGA+U.

Cell: 6.468 6.468 3.767 Å, 90.00 90.00 90.00°
Sites, in units of the cell vectors:
1 Rb 0.000 0.500 0.000
2 Rb 0.500 0.000 0.000
3 Fe 0.000 0.000 0.500
4 Sn 0.500 0.500 0.500
5 O 0.000 0.000 0.000

## Properties
Calculated volume, Å³/f.u.: 157.6
Space group: No. 123
E, eV per atom: -3.709
M_tot, μB/f.u.: 4.35